The following is a DFT calculation (GGA-PBE) of a relaxed Cd4AsPI3 crystal.

```
Cd4AsPI3
1.0
12.996 0.000 0.000
0.000 12.996 0.000
0.000 0.000 12.996
Cd As P I
32 8 8 24
Direct
0.006 0.236 0.533
0.006 0.264 0.033
0.033 0.006 0.264
0.033 0.494 0.764
0.219 0.219 0.219
0.219 0.281 0.719
0.236 0.533 0.006
0.236 0.967 0.506
0.264 0.033 0.006
0.264 0.467 0.506
0.281 0.719 0.219
0.281 0.781 0.719
0.467 0.506 0.264
0.467 0.994 0.764
0.494 0.736 0.533
0.494 0.764 0.033
0.506 0.236 0.967
0.506 0.264 0.467
0.533 0.006 0.236
0.533 0.494 0.736
0.719 0.219 0.281
0.719 0.281 0.781
0.736 0.533 0.494
0.736 0.967 0.994
0.764 0.033 0.494
0.764 0.467 0.994
0.781 0.719 0.281
0.781 0.781 0.781
0.967 0.506 0.236
0.967 0.994 0.736
0.994 0.736 0.967
0.994 0.764 0.467
0.103 0.103 0.103
0.103 0.397 0.603
0.397 0.603 0.103
0.397 0.897 0.603
0.603 0.103 0.397
0.603 0.397 0.897
0.897 0.603 0.397
0.897 0.897 0.897
0.049 0.549 0.951
0.049 0.951 0.451
0.451 0.049 0.951
0.451 0.451 0.451
0.549 0.549 0.549
0.549 0.951 0.049
0.951 0.049 0.549
0.951 0.451 0.049
0.060 0.742 0.689
0.060 0.758 0.189
0.189 0.060 0.758
0.189 0.440 0.258
0.242 0.689 0.440
0.242 0.811 0.940
0.258 0.189 0.440
0.258 0.311 0.940
0.311 0.560 0.758
0.311 0.940 0.258
0.440 0.242 0.689
0.440 0.258 0.189
0.560 0.742 0.811
0.560 0.758 0.311
0.689 0.060 0.742
0.689 0.440 0.242
0.742 0.689 0.060
0.742 0.811 0.560
0.758 0.189 0.060
0.758 0.311 0.560
0.811 0.560 0.742
0.811 0.940 0.242
0.940 0.242 0.811
0.940 0.258 0.311
```

Values from the calculation:
- SG: Pa-3, No. 205
- VASP energy: -171.60 eV per cell


The following is a DFT calculation (GGA-PBE) of a relaxed CdInAs crystal.

```
CdInAs
1.0
0.000 3.425 3.425
3.425 0.000 3.425
3.425 3.425 0.000
Cd In As
1 1 1
Direct
0.000 0.000 0.000
0.500 0.500 0.500
0.250 0.250 0.250
```

Values from the calculation:
- SG: F-43m, No. 216
- VASP energy: -8.19 eV per cell